Ho2GaO4: optimized geometry, PBE.

* size of the total moment: 0.000 μB per atom
* E: -7.28 eV/atom
* space-group type: Fd-3m

Cell lengths 6.592, 6.592, 6.592 Å; angles 120.00, 90.00, 120.00 degrees
Sites, in units of the cell vectors:
Ga  0.000  0.000  0.000
Ga  0.750  0.500  0.250
Ho  0.375  0.750  0.125
Ho  0.375  0.250  0.625
Ho  0.375  0.750  0.625
Ho  0.875  0.250  0.625
O  0.619  0.237  0.381
O  0.144  0.763  0.381
O  0.619  0.763  0.381
O  0.131  0.263  0.394
O  0.619  0.237  0.856
O  0.131  0.737  0.869
O  0.131  0.263  0.869
O  0.606  0.737  0.869

Ho3GaO6: optimized geometry, PBE.

* size of the total moment: 0.000 μB per atom
* E: -7.84 eV/atom
* space-group type: Cmc2_1

Cell lengths 5.373, 7.046, 7.046 Å; angles 102.75, 90.00, 90.00 degrees
Sites, in units of the cell vectors:
Ga  0.006  0.806  0.194
Ga  0.506  0.194  0.806
Ho  0.976  0.298  0.087
Ho  0.476  0.087  0.298
Ho  0.427  0.602  0.398
Ho  0.927  0.398  0.602
Ho  0.976  0.913  0.702
Ho  0.476  0.702  0.913
O  0.153  0.962  0.038
O  0.187  0.576  0.105
O  0.667  0.783  0.217
O  0.702  0.357  0.322
O  0.202  0.322  0.357
O  0.187  0.895  0.424
O  0.687  0.105  0.576
O  0.702  0.678  0.643
O  0.202  0.643  0.678
O  0.167  0.217  0.783
O  0.687  0.424  0.895
O  0.653  0.038  0.962

HoGaO3: optimized geometry, PBE.

* size of the total moment: 0.000 μB per atom
* E: -7.07 eV/atom
* space-group type: P4mm

Cell lengths 3.614, 3.614, 4.654 Å; angles 90.00, 90.00, 90.00 degrees
Sites, in units of the cell vectors:
Ga  0.500  0.500  0.516
Ho  0.000  0.000  0.946
O  0.500  0.500  0.120
O  0.500  0.000  0.659
O  0.000  0.500  0.659